Record 1
Here is an optimized crystal structure of Pr4TlCu from the Alexandria database. Energies are from PBE.

```
data_Pr4TlCu
_chemical_formula_sum 'Pr8 Tl2 Cu2'
_cell_length_a 6.283
_cell_length_b 9.332
_cell_length_c 6.442
_cell_angle_alpha 90.00
_cell_angle_beta 104.52
_cell_angle_gamma 90.00
_space_group_name_H-M_alt 'P 1'
_space_group_IT_number 1
_space_group_name_Hall 'P 1'
loop_
_atom_site_label
_atom_site_fract_x
_atom_site_fract_y
_atom_site_fract_z
Pr1 0.061 0.653 0.118
Pr2 0.439 0.153 0.882
Pr3 0.372 0.326 0.405
Pr4 0.128 0.826 0.595
Pr5 0.939 0.347 0.882
Pr6 0.561 0.847 0.118
Pr7 0.628 0.674 0.595
Pr8 0.872 0.174 0.405
Tl1 0.000 0.000 0.000
Tl2 0.500 0.500 0.000
Cu1 0.500 0.000 0.500
Cu2 0.000 0.500 0.500
```

Computed properties:
As for the density of states at the Fermi level: 13.4 states/eV per cell. The calculation puts the formation energy from the elements at -9 kJ/mol of formula units. The calculation puts the total energy at -4.28 eV per atom. For the volume, the calculation gives 182.80 Å³/f.u. As for the calculated density: 7.6 Mg/m³.

Record 2
Here is an optimized crystal structure of Mn4Al5 from the Alexandria database. Energies are from PBE.

```
data_Mn4Al5
_chemical_formula_sum 'Mn8 Al10'
_cell_length_a 7.486
_cell_length_b 7.486
_cell_length_c 5.155
_cell_angle_alpha 90.00
_cell_angle_beta 90.00
_cell_angle_gamma 120.00
_space_group_name_H-M_alt 'P 1'
_space_group_IT_number 1
_space_group_name_Hall 'P 1'
loop_
_atom_site_label
_atom_site_fract_x
_atom_site_fract_y
_atom_site_fract_z
Mn1 0.000 0.000 0.000
Mn2 0.000 0.000 0.500
Mn3 0.000 0.368 0.250
Mn4 0.632 0.632 0.250
Mn5 0.368 0.000 0.250
Mn6 0.000 0.632 0.750
Mn7 0.368 0.368 0.750
Mn8 0.632 0.000 0.750
Al1 0.000 0.705 0.250
Al2 0.295 0.295 0.250
Al3 0.705 0.000 0.250
Al4 0.000 0.295 0.750
Al5 0.705 0.705 0.750
Al6 0.295 0.000 0.750
Al7 0.667 0.333 0.000
Al8 0.333 0.667 0.500
Al9 0.333 0.667 0.000
Al10 0.667 0.333 0.500
```

Computed properties:
As for the density of states at the Fermi level: 14.4 states/eV per cell. The calculation puts the formation energy from the elements at -97 kJ/mol of formula units. The calculation puts the total energy at -6.27 eV per atom. For the volume, the calculation gives 125.10 Å³/f.u. As for the calculated density: 4.7 Mg/m³.

Record 3
Here is an optimized crystal structure of Fe2GeH2 from the Alexandria database. Energies are from PBE.

```
data_Fe2GeH2
_chemical_formula_sum 'Fe2 Ge1 H2'
_cell_length_a 2.918
_cell_length_b 2.918
_cell_length_c 5.224
_cell_angle_alpha 73.78
_cell_angle_beta 73.78
_cell_angle_gamma 90.00
_space_group_name_H-M_alt 'P 1'
_space_group_IT_number 1
_space_group_name_Hall 'P 1'
loop_
_atom_site_label
_atom_site_fract_x
_atom_site_fract_y
_atom_site_fract_z
H1 0.750 0.250 0.500
H2 0.250 0.750 0.500
Ge1 0.000 0.000 0.000
Fe1 0.354 0.354 0.293
Fe2 0.646 0.646 0.707
```

Computed properties:
As for the density of states at the Fermi level: 4.0 states/eV per cell. The calculation puts the total energy at -5.59 eV per atom. For the volume, the calculation gives 40.87 Å³/f.u. As for the calculated density: 7.6 Mg/m³.

Record 4
Here is an optimized crystal structure of SnBiAu2 from the Alexandria database. Energies are from PBE.

```
data_SnBiAu2
_chemical_formula_sum 'Sn2 Bi2 Au4'
_cell_length_a 7.806
_cell_length_b 7.806
_cell_length_c 6.417
_cell_angle_alpha 52.54
_cell_angle_beta 52.54
_cell_angle_gamma 90.00
_space_group_name_H-M_alt 'P 1'
_space_group_IT_number 1
_space_group_name_Hall 'P 1'
loop_
_atom_site_label
_atom_site_fract_x
_atom_site_fract_y
_atom_site_fract_z
Au1 0.611 0.125 0.250
Au2 0.139 0.625 0.250
Au3 0.375 0.389 0.750
Au4 0.875 0.861 0.750
Bi1 0.000 0.000 0.000
Bi2 0.750 0.250 0.500
Sn1 0.500 0.500 0.000
Sn2 0.250 0.750 0.500
```

Computed properties:
As for the density of states at the Fermi level: 3.5 states/eV per cell. The calculation puts the formation energy from the elements at 7 kJ/mol of formula units. The calculation puts the total energy at -3.59 eV per atom. For the volume, the calculation gives 99.74 Å³/f.u. As for the calculated density: 12.0 Mg/m³.

Record 5
Here is an optimized crystal structure of LiMg5Ag3 from the Alexandria database. Energies are from PBE.

```
data_LiMg5Ag3
_chemical_formula_sum 'Li2 Mg10 Ag6'
_cell_length_a 6.463
_cell_length_b 6.463
_cell_length_c 10.069
_cell_angle_alpha 83.39
_cell_angle_beta 83.39
_cell_angle_gamma 80.36
_space_group_name_H-M_alt 'P 1'
_space_group_IT_number 1
_space_group_name_Hall 'P 1'
loop_
_atom_site_label
_atom_site_fract_x
_atom_site_fract_y
_atom_site_fract_z
Li1 0.020 0.020 0.748
Li2 0.980 0.980 0.252
Mg1 0.004 0.396 0.354
Mg2 0.321 0.679 0.000
Mg3 0.735 0.735 0.141
Mg4 0.474 0.474 0.335
Mg5 0.526 0.526 0.665
Mg6 0.265 0.265 0.859
Mg7 0.396 0.004 0.354
Mg8 0.679 0.321 0.000
Mg9 0.996 0.604 0.646
Mg10 0.604 0.996 0.646
Ag1 0.735 0.735 0.869
Ag2 0.730 0.730 0.429
Ag3 0.000 0.000 0.000
Ag4 0.000 0.000 0.500
Ag5 0.265 0.265 0.131
Ag6 0.270 0.270 0.571
```

Computed properties:
As for the density of states at the Fermi level: 7.8 states/eV per cell. The calculation puts the formation energy from the elements at 18 kJ/mol of formula units. The calculation puts the total energy at -2.03 eV per atom. For the volume, the calculation gives 204.94 Å³/f.u. As for the calculated density: 3.7 Mg/m³.

Record 6
Here is an optimized crystal structure of S3BrO from the Alexandria database. Energies are from PBE.

```
data_S3BrO
_chemical_formula_sum 'S3 Br1 O1'
_cell_length_a 4.814
_cell_length_b 4.814
_cell_length_c 4.814
_cell_angle_alpha 90.00
_cell_angle_beta 90.00
_cell_angle_gamma 90.00
_space_group_name_H-M_alt 'P 1'
_space_group_IT_number 1
_space_group_name_Hall 'P 1'
loop_
_atom_site_label
_atom_site_fract_x
_atom_site_fract_y
_atom_site_fract_z
S1 0.000 0.500 0.000
S2 0.000 0.000 0.500
S3 0.500 0.000 0.000
O1 0.500 0.500 0.500
Br1 0.000 0.000 0.000
```

Computed properties:
As for the density of states at the Fermi level: 11.7 states/eV per cell. The calculation puts the formation energy (no corrections) at 1.9034 eV per atom. The calculation puts the total energy at -1.90 eV per atom. For the volume, the calculation gives 111.53 Å³/f.u. As for the calculated density: 2.9 Mg/m³.

Record 7
Here is an optimized crystal structure of SrAc2Te4 from the Alexandria database. Energies are from PBE.

```
data_SrAc2Te4
_chemical_formula_sum 'Sr2 Ac4 Te8'
_cell_length_a 4.688
_cell_length_b 8.143
_cell_length_c 15.943
_cell_angle_alpha 90.00
_cell_angle_beta 90.00
_cell_angle_gamma 106.73
_space_group_name_H-M_alt 'P 1'
_space_group_IT_number 1
_space_group_name_Hall 'P 1'
loop_
_atom_site_label
_atom_site_fract_x
_atom_site_fract_y
_atom_site_fract_z
Sr1 0.616 0.232 0.750
Sr2 0.384 0.768 0.250
Ac1 0.134 0.268 0.428
Ac2 0.866 0.732 0.928
Ac3 0.134 0.268 0.072
Ac4 0.866 0.732 0.572
Te1 0.776 0.552 0.121
Te2 0.776 0.552 0.379
Te3 0.224 0.448 0.879
Te4 0.224 0.448 0.621
Te5 0.968 0.936 0.750
Te6 0.032 0.064 0.250
Te7 0.500 0.000 0.000
Te8 0.500 0.000 0.500
```

Computed properties:
The calculation puts the formation energy (no corrections) at -1.5769 eV per atom. The calculation puts the total energy at -4.79 eV per atom. For the volume, the calculation gives 291.44 Å³/f.u. As for the calculated density: 6.0 Mg/m³.

Record 8
Here is an optimized crystal structure of SiOsPb2 from the Alexandria database. Energies are from PBE.

```
data_SiOsPb2
_chemical_formula_sum 'Si1 Os1 Pb2'
_cell_length_a 6.923
_cell_length_b 6.923
_cell_length_c 6.923
_cell_angle_alpha 152.81
_cell_angle_beta 142.01
_cell_angle_gamma 47.34
_space_group_name_H-M_alt 'P 1'
_space_group_IT_number 1
_space_group_name_Hall 'P 1'
loop_
_atom_site_label
_atom_site_fract_x
_atom_site_fract_y
_atom_site_fract_z
Os1 0.295 0.795 0.500
Pb1 0.040 0.040 0.000
Pb2 0.734 0.234 0.500
Si1 0.430 0.430 0.000
```

Computed properties:
As for the density of states at the Fermi level: 2.1 states/eV per cell. The calculation puts the formation energy (no corrections) at 0.4998 eV per atom. The calculation puts the total energy at -5.52 eV per atom. For the volume, the calculation gives 92.98 Å³/f.u. As for the calculated density: 11.3 Mg/m³.

> Number 7 is which compound?

SrAc2Te4